1.
The following is a PBE calculation of an optimized crystal structure of Cr2Ni15Pt2, from Alexandria via LeMat-Bulk.

Calculated values
**Raw total energy**: -6.0719 eV per atom
**Formation energy**: 0.141 eV per atom

Lattice parameters (Å, degrees): 6.2232 6.2232 6.2232 82.87 82.87 82.87
With the nearest neighbours (Å) after each atom.
Sites, in units of the cell vectors:
Cr: 0.1534 0.1534 0.1534  15 Ni 2.85-3.17, 1 Pt 2.85
Cr: 0.8466 0.8466 0.8466  15 Ni 2.85-3.17, 1 Pt 2.85
Ni: 0.0000 0.5000 0.5000  8 Ni 2.38-2.42, 2 Pt 2.47
Ni: 0.1473 0.1473 0.6644  8 Ni 2.32-2.53
Ni: 0.1473 0.6644 0.1473  8 Ni 2.32-2.53
Ni: 0.1940 0.5000 0.8060  8 Ni 2.38-2.53
Ni: 0.1940 0.8060 0.5000  8 Ni 2.38-2.53
Ni: 0.3356 0.8527 0.8527  8 Ni 2.32-2.53
Ni: 0.5000 0.0000 0.5000  8 Ni 2.38-2.42, 2 Pt 2.47
Ni: 0.5000 0.1940 0.8060  8 Ni 2.38-2.53
Ni: 0.5000 0.5000 0.0000  8 Ni 2.38-2.42, 2 Pt 2.47
Ni: 0.5000 0.8060 0.1940  8 Ni 2.38-2.53
Ni: 0.6644 0.1473 0.1473  8 Ni 2.32-2.53
Ni: 0.8060 0.1940 0.5000  8 Ni 2.38-2.53
Ni: 0.8060 0.5000 0.1940  8 Ni 2.38-2.53
Ni: 0.8527 0.3356 0.8527  8 Ni 2.32-2.53
Ni: 0.8527 0.8527 0.3356  8 Ni 2.32-2.53
Pt: 0.3903 0.3903 0.3903  6 Ni 2.47-2.60, 1 Pt 2.64
Pt: 0.6097 0.6097 0.6097  6 Ni 2.47-2.60, 1 Pt 2.64

***

2.
The following is a PBE calculation of an optimized crystal structure of TbHo4ScS8, from Alexandria via LeMat-Bulk.

Calculated values
**Raw total energy**: -6.3702 eV per atom
**ΔE_f (raw)**: -1921 meV per atom

Lattice parameters (Å, degrees): 7.9605 7.9605 7.9605 59.93 59.93 59.93
With the nearest neighbours (Å) after each atom.
Sites, in units of the cell vectors:
Tb: 0.0000 0.0000 0.0000  6 S 2.76-2.78
Ho: 0.0002 0.0002 0.5126  6 S 2.74-2.76
Ho: 0.0002 0.5126 0.0002  6 S 2.74-2.76
Ho: 0.3782 0.3782 0.3782  4 S 2.60-2.61
Ho: 0.5126 0.0002 0.0002  6 S 2.74-2.76
Sc: 0.6285 0.6285 0.6285  4 S 2.49-2.50
S: 0.2446 0.2446 0.2446  4 Ho 2.61-2.76
S: 0.2462 0.2462 0.7780  3 Ho 2.60-2.75, 1 Tb 2.78
S: 0.2456 0.7543 0.7543  1 Sc 2.49, 2 Ho 2.74, 1 Tb 2.76
S: 0.2462 0.7780 0.2462  3 Ho 2.60-2.75, 1 Tb 2.78
S: 0.7543 0.2456 0.7543  1 Sc 2.49, 2 Ho 2.74, 1 Tb 2.76
S: 0.7543 0.7543 0.2456  1 Sc 2.49, 2 Ho 2.74, 1 Tb 2.76
S: 0.7564 0.7564 0.7564  1 Sc 2.50, 3 Ho 2.74
S: 0.7780 0.2462 0.2462  3 Ho 2.60-2.75, 1 Tb 2.78

***

3.
The following is a PBE calculation of an optimized crystal structure of Tb2SmTh3As6, from Alexandria via LeMat-Bulk.

Calculated values
**Raw total energy**: -6.8205 eV per atom
**Formation energy**: -1.476 eV per atom

Lattice parameters (Å, degrees): 9.4091 9.4091 8.3951 102.64 102.64 25.91
With the nearest neighbours (Å) after each atom.
Sites, in units of the cell vectors:
Tb: 0.1668 0.1668 0.3334  6 As 2.95
Tb: 0.8332 0.8332 0.6666  6 As 2.95
Sm: 0.5000 0.5000 0.0000  6 As 2.97-2.98
Th: 0.1663 0.1663 0.8330  6 As 2.98-3.00
Th: 0.5000 0.5000 0.5000  6 As 2.98-3.00
Th: 0.8337 0.8337 0.1670  6 As 2.98-3.00
As: 0.0016 0.0016 0.2501  1 Tb 2.95, 2 Sm 2.97, 3 Th 2.98-3.00
As: 0.3319 0.3319 0.4202  3 Tb 2.95, 3 Th 3.00
As: 0.3333 0.3333 0.9126  2 Tb 2.95, 1 Sm 2.98, 3 Th 2.98-3.00
As: 0.6667 0.6667 0.0874  2 Tb 2.95, 1 Sm 2.98, 3 Th 2.98-3.00
As: 0.6681 0.6681 0.5798  3 Tb 2.95, 3 Th 3.00
As: 0.9984 0.9984 0.7499  1 Tb 2.95, 2 Sm 2.97, 3 Th 2.98-3.00

***

4.
The following is a PBE calculation of an optimized crystal structure of Zn3CS, from Alexandria via LeMat-Bulk.

Calculated values
**Raw total energy**: -1.8825 eV per atom
**ΔE_f (raw)**: 1552 meV per atom

Lattice parameters (Å, degrees): 4.6457 4.6457 4.6457 90.00 90.00 90.00
With the nearest neighbours (Å) after each atom.
Sites, in units of the cell vectors:
Zn: 0.0000 0.0000 0.5000  2 S 2.32
Zn: 0.0000 0.5000 0.0000  2 S 2.32
Zn: 0.5000 0.0000 0.0000  2 S 2.32
C: 0.5000 0.5000 0.5000  12 Zn 3.29
S: 0.0000 0.0000 0.0000  6 Zn 2.32